Record 1
KCr2Ir | PBE-GGA | optimized geometry

Calculated values
**Calculated volume**: 75.7 Å³/cell
**Formation energy from the elements**: 0.575 eV/atom
**Polymorph energy (0 for the lowest one)**: 0 meV/atom
**Symmetry**: P4mm, No. 99

Unit cell a=2.9849 b=2.9849 c=8.4984 alpha=90.00 beta=90.00 gamma=90.00
Closest atoms and distances in Å follow each position.
Sites, in units of the cell vectors:
K  0.0000  0.0000  0.0000  4 K 2.98
Cr  0.0000  0.0000  0.5236  4 Ir 2.55, 4 Cr 2.56
Cr  0.5000  0.5000  0.3524  4 Cr 2.56
Ir  0.5000  0.5000  0.6913  4 Cr 2.55

=====

Record 2
MgTc2Ni | PBE-GGA | optimized geometry

Calculated values
**Calculated volume**: 57.5 Å³/cell
**Formation energy from the elements**: 0.144 eV/atom
**Symmetry**: Pm, No. 6

Unit cell a=2.6254 b=4.3214 c=5.1211 alpha=90.00 beta=98.24 gamma=90.00
Closest atoms and distances in Å follow each position.
Sites, in units of the cell vectors:
Mg  0.0000  0.0000  0.0000  2 Ni 2.55, 2 Mg 2.63, 4 Tc 2.68-2.79
Tc  0.3048  0.5000  0.7155  4 Tc 2.51-2.63, 2 Ni 2.66-2.75, 2 Mg 2.79
Tc  0.4854  0.0000  0.4982  4 Tc 2.51-2.63, 2 Mg 2.68-2.73, 2 Ni 2.75
Ni  0.7933  0.5000  0.2272  2 Mg 2.55, 2 Ni 2.63, 4 Tc 2.66-2.75

=====

Record 3
ScIn3Hg | PBE-GGA | optimized geometry

Calculated values
**Calculated volume**: 162.0 Å³/cell
**Formation energy from the elements**: 0.513 eV/atom
**Polymorph energy (0 for the lowest one)**: 75 meV/atom
**Symmetry**: Pm-3m, No. 221

Unit cell a=5.4508 b=5.4508 c=5.4508 alpha=90.00 beta=90.00 gamma=90.00
Closest atoms and distances in Å follow each position.
Sites, in units of the cell vectors:
Sc  0.0000  0.0000  0.0000  12 In 3.85
In  0.0000  0.5000  0.5000  2 Hg 2.73
In  0.5000  0.0000  0.5000  2 Hg 2.73
In  0.5000  0.5000  0.0000  2 Hg 2.73
Hg  0.5000  0.5000  0.5000  6 In 2.73

=====

Record 4
GdPuTeAu | PBE-GGA | optimized geometry

Calculated values
**Calculated volume**: 103.8 Å³/cell
**E_tot**: -37.55 eV per cell
**Symmetry**: F-43m, No. 216

Unit cell a=5.2748 b=5.2748 c=5.2748 alpha=60.00 beta=60.00 gamma=60.00
Closest atoms and distances in Å follow each position.
Sites, in units of the cell vectors:
Gd  0.0000  0.0000  0.0000  4 Te 3.23, 4 Au 3.23
Pu  0.5000  0.5000  0.5000  4 Te 3.23, 4 Au 3.23
Te  0.2500  0.2500  0.2500  4 Gd 3.23, 4 Pu 3.23
Au  0.7500  0.7500  0.7500  4 Gd 3.23, 4 Pu 3.23

=====

Record 5
ScAl2W2 | PBE-GGA | optimized geometry

Calculated values
**Calculated volume**: 165.1 Å³/cell
**Formation energy from the elements**: -0.040 eV/atom
**Symmetry**: P4/mbm, No. 127

Unit cell a=7.0026 b=7.0026 c=3.3672 alpha=90.00 beta=90.00 gamma=90.00
Closest atoms and distances in Å follow each position.
Sites, in units of the cell vectors:
Sc  0.0000  0.0000  0.0000  4 Al 2.76
Sc  0.5000  0.5000  0.0000  4 Al 2.76
Al  0.1263  0.3737  0.0000  1 Al 2.50, 6 W 2.63-2.69, 2 Sc 2.76
Al  0.3737  0.8737  0.0000  1 Al 2.50, 6 W 2.63-2.69, 2 Sc 2.76
Al  0.6263  0.1263  0.0000  1 Al 2.50, 6 W 2.63-2.69, 2 Sc 2.76
Al  0.8737  0.6263  0.0000  1 Al 2.50, 6 W 2.63-2.69, 2 Sc 2.76
W  0.1700  0.6700  0.5000  6 Al 2.63-2.69
W  0.3300  0.1700  0.5000  6 Al 2.63-2.69
W  0.6700  0.8300  0.5000  6 Al 2.63-2.69
W  0.8300  0.3300  0.5000  6 Al 2.63-2.69

=====

Question: The highest calculated volume belongs to which entry?
Answer: ScAl2W2